Entry 1:
VASP calculation (GGA-PBE) on crystalline TcPb2 at its relaxed geometry.

abc: 11.878 11.878 11.878
angles: 90.00 90.00 90.00
Space group Fd-3m (No. 227, origin choice 2)
Asymmetric unit:
Tc 0.125 0.125 0.125 x8
Pb 0.000 0.000 0.000 x16

Computed properties:
* magnetic moment: 0.0 μB per formula unit
* offset from the most stable computed form: 0 meV/atom

Entry 2:
VASP calculation (GGA-PBE) on crystalline Ta4Nb2Bi3N3 at its relaxed geometry.

abc: 10.259 6.004 13.742
angles: 90.00 103.59 90.00
Space group C2/c (No. 15)
Asymmetric unit:
Ta 0.100 0.101 0.071 x8
Ta 0.233 0.066 0.430 x8
Nb 0.047 0.414 0.923 x8
Bi 0.000 0.077 0.750 x4
Bi 0.170 0.414 0.250 x8
N 0.093 0.242 0.500 x8
N 0.250 0.250 0.000 x4

Computed properties:
* total energy: -8.939 eV/atom
* magnetic moment: 0.0 μB per formula unit